# PBE Dy7Tm4In, relaxed
# Energy: -53.06 eV for the cell shown
# E_form: -0.02 eV per atom
data_Dy7Tm4In
_space_group_name_H-M_alt 'P -1'
_space_group_IT_number 2
_space_group_name_Hall '-P 1'
_cell_length_a 6.469
_cell_length_b 6.643
_cell_length_c 8.830
_cell_angle_alpha 83.86
_cell_angle_beta 77.22
_cell_angle_gamma 81.43
loop_
_atom_site_label
_atom_site_type_symbol
_atom_site_fract_x
_atom_site_fract_y
_atom_site_fract_z
Dy1 Dy 0.000 0.000 0.000
Dy2 Dy 0.154 0.608 0.318
Dy3 Dy 0.193 0.100 0.390
Dy4 Dy 0.464 0.253 0.044
Tm1 Tm 0.309 0.702 0.657
Tm2 Tm 0.369 0.193 0.710
In1 In 0.000 0.500 0.000